## Cs2AgNF6 (PBE)

Data for crystalline Cs2AgNF6 at its relaxed geometry.

Properties
Density in g/cm³: 5.1
Density of states at the Fermi level in states/eV/cell: 0.0
Raw formation energy in eV per formula unit: -12.36
Total energy in eV per atom: -3.647

abc: 6.1473 6.1473 6.1510
angles: 60.02 60.02 90.00
Last column: nearest neighbours and their distance in Å.
Positions (direct):
F: 0.7177 0.2823 0.0000  1 N 1.89
F: 0.2823 0.2823 0.0000  1 N 1.89
F: 0.7177 0.7177 0.0000  1 N 1.89
F: 0.2823 0.7177 0.0000  1 N 1.89
F: 0.2826 0.2826 0.4347  1 N 1.89
F: 0.7174 0.7174 0.5653  1 N 1.89
Cs: 0.2500 0.7500 0.5000  12 F 3.09
Cs: 0.7500 0.2500 0.5000  12 F 3.09
Ag: 0.0000 0.0000 0.0000  6 F 2.45-2.46
N: 0.5000 0.5000 0.0000  6 F 1.89